First-principles (GGA+U) data for Li2MnNi3O8 after structural relaxation, as listed in Alexandria.

Spin magnetization: 0.36 μB/atom
Fermi-level density of states: 1.03 states/eV/f.u.
E above lowest polymorph: 33.5 meV/atom
Symmetry: P-1

a = 5.6848 Å, b = 5.7281 Å, c = 5.8757 Å
α = 91.27°, β = 118.13°, γ = 118.80°
Closest atoms and distances in Å follow each position.
Atoms (fractional coordinates):
Li (0.0000, 0.0000, 0.0000)  6 O 2.06-2.23
Li (0.0000, 0.5000, 0.0000)  6 O 2.09-2.21
Mn (0.5000, 0.0000, 0.5000)  6 O 1.91-1.94
Ni (0.0000, 0.0000, 0.5000)  6 O 1.89-2.10
Ni (0.0000, 0.5000, 0.5000)  6 O 1.92-2.11
Ni (0.5000, 0.5000, 0.5000)  6 O 1.88-1.89
O (0.0418, 0.7921, 0.2840)  2 Ni 1.89-2.11, 1 Mn 1.91, 1 Li 2.06
O (0.0481, 0.2745, 0.3015)  3 Ni 1.88-1.97
O (0.4677, 0.7341, 0.7000)  2 Ni 1.89-1.95, 1 Mn 1.94
O (0.4963, 0.7396, 0.2851)  2 Ni 1.89-2.10, 1 Mn 1.92, 1 Li 2.09
O (0.5037, 0.2604, 0.7149)  2 Ni 1.89-2.10, 1 Mn 1.92, 1 Li 2.09
O (0.5323, 0.2659, 0.3000)  2 Ni 1.89-1.95, 1 Mn 1.94
O (0.9519, 0.7255, 0.6985)  3 Ni 1.88-1.97
O (0.9582, 0.2079, 0.7160)  2 Ni 1.89-2.11, 1 Mn 1.91, 1 Li 2.06